The following is a PBE with a Hubbard U calculation of KV3F after structural relaxation, from Alexandria.

For the calculated total energy, the calculation gives -2.9744 eV per atom. The calculation puts the energy above the most stable polymorph in this dataset at 1289.1 meV/atom.

The space group is Pm-3m (No. 221) and the conventional cell measures 5.784, 5.784 and 5.784 Å, with angles of 90.00, 90.00 and 90.00 degrees. Symmetry generates all atoms from K at (0.000, 0.000, 0.000), V at (0.000, 0.000, 0.500) and F at (0.500, 0.500, 0.500).